(1)
The following is a DFT calculation (meta-GGA SCAN) of a PBEsol-optimized structure of CaNiRu.

The energy is -19.96 eV/atom. The crystal system is orthorhombic.

The space group is Imm2 (No. 44) and the conventional cell measures 2.7536, 3.6719 and 10.0398 Å, with angles of 90.00, 90.00 and 90.00 degrees. Symmetry generates all atoms from Ca at (0.0000, 0.0000, 0.0000), Ni at (0.0000, 0.0000, 0.2902) and Ru at (0.0000, 0.0000, 0.7114).

=====

(2)
The following is a DFT calculation (meta-GGA SCAN) of a PBEsol-optimized structure of La2NiIrRu.

The energy is -41.38 eV/atom. The crystal system is tetragonal.

The space group is P4/mmm (No. 123) and the conventional cell measures 5.4073, 5.4073 and 4.4411 Å, with angles of 90.00, 90.00 and 90.00 degrees. Symmetry generates all atoms from La at (0.0000, 0.5000, 0.0000), Ni at (0.0000, 0.0000, 0.5000), Ir at (0.0000, 0.0000, 0.0000) and Ru at (0.5000, 0.5000, 0.5000).

=====

(3)
The following is a DFT calculation (meta-GGA SCAN) of a PBEsol-optimized structure of BTeI2O.

The calculation puts the excess energy over the best structure of this formula in the dataset at 400 meV/atom. The crystal system is tetragonal.

The space group is P4/mmm (No. 123) and the conventional cell measures 5.1364, 5.1364 and 4.4412 Å, with angles of 90.00, 90.00 and 90.00 degrees. Symmetry generates all atoms from B at (0.0000, 0.0000, 0.0000), Te at (0.5000, 0.5000, 0.0000), I at (0.0000, 0.5000, 0.5000) and O at (0.5000, 0.5000, 0.5000).

=====

(4)
The following is a DFT calculation (meta-GGA SCAN) of a PBEsol-optimized structure of Dy3Se3N.

The energy is -32.51 eV/atom. The crystal system is orthorhombic.

The space group is Pnma (No. 62) and the conventional cell measures 12.3761, 3.8975 and 12.9491 Å, with angles of 90.00, 90.00 and 90.00 degrees. Symmetry generates all atoms from Dy at (0.0429, 0.2500, 0.1501), Dy at (0.0626, 0.2500, 0.6328), Dy at (0.2041, 0.2500, 0.8580), Se at (0.0984, 0.2500, 0.3965), Se at (0.1303, 0.7500, 0.9953), Se at (0.2239, 0.7500, 0.6866) and N at (0.0362, 0.2500, 0.7973).

=====

(5)
The following is a DFT calculation (meta-GGA SCAN) of a PBEsol-optimized structure of Na2HfCrBi.

The energy is -32.49 eV/atom. The crystal system is tetragonal.

The space group is P4/mmm (No. 123) and the conventional cell measures 5.5978, 5.5978 and 5.2032 Å, with angles of 90.00, 90.00 and 90.00 degrees. Symmetry generates all atoms from Na at (0.0000, 0.5000, 0.0000), Hf at (0.0000, 0.0000, 0.5000), Cr at (0.5000, 0.5000, 0.5000) and Bi at (0.5000, 0.5000, 0.0000).

=====

(6)
The following is a DFT calculation (meta-GGA SCAN) of a PBEsol-optimized structure of CoTcAs2.

The calculation puts the excess energy over the best structure of this formula in the dataset at 74 meV/atom. The crystal system is trigonal.

The space group is R3m (No. 160, hexagonal axes) and the conventional cell measures 2.8341, 2.8341 and 28.0616 Å, with angles of 90.00, 90.00 and 120.00 degrees. Symmetry generates all atoms from Co at (0.0000, 0.0000, 0.0000), Tc at (0.0000, 0.0000, 0.7395), As at (0.0000, 0.0000, 0.2711) and As at (0.0000, 0.0000, 0.4742).